No. 1
## HoMgBi3 (PBE)

Data for HoMgBi3 after structural relaxation.

Computed properties:
Space-group type   Pbcm

Cell: 6.5050 6.4890 13.7183 Å, 90.00 90.00 90.00°
Closest atoms and distances in Å follow each position.
Fractional coordinates of all 20 atoms:
Bi: 0.2500 0.9954 0.2679  2 Mg 3.14, 4 Ho 3.27-3.37, 1 Bi 3.31
Ho: 0.2500 0.5031 0.3198  9 Bi 3.27-3.43, 2 Mg 3.65
Bi: 0.7500 0.0046 0.7321  2 Mg 3.14, 4 Ho 3.27-3.37, 1 Bi 3.31
Bi: 0.0000 0.7500 0.5034  4 Bi 3.25, 4 Ho 3.35-3.40
Bi: 0.7500 0.3306 0.9174  4 Mg 3.19-3.20, 3 Bi 3.31-3.42, 1 Ho 3.43
Mg: 0.0000 0.2500 0.1138  6 Bi 3.14-3.20, 2 Mg 3.25
Bi: 0.0000 0.2500 0.4966  4 Bi 3.25, 4 Ho 3.35-3.40
Bi: 0.2500 0.4954 0.7321  2 Mg 3.14, 4 Ho 3.27-3.37, 1 Bi 3.31
Bi: 0.7500 0.8306 0.0826  4 Mg 3.19-3.20, 3 Bi 3.31-3.42, 1 Ho 3.43
Mg: 0.5000 0.7500 0.8862  6 Bi 3.14-3.20, 2 Mg 3.25
Ho: 0.2500 0.0031 0.6802  9 Bi 3.27-3.43, 2 Mg 3.65
Mg: 0.0000 0.7500 0.8862  6 Bi 3.14-3.20, 2 Mg 3.25
Bi: 0.2500 0.6694 0.0826  4 Mg 3.19-3.20, 3 Bi 3.31-3.42, 1 Ho 3.43
Mg: 0.5000 0.2500 0.1138  6 Bi 3.14-3.20, 2 Mg 3.25
Bi: 0.5000 0.7500 0.5034  4 Bi 3.25, 4 Ho 3.35-3.40
Bi: 0.7500 0.5046 0.2679  2 Mg 3.14, 4 Ho 3.27-3.37, 1 Bi 3.31
Ho: 0.7500 0.9969 0.3198  9 Bi 3.27-3.43, 2 Mg 3.65
Bi: 0.5000 0.2500 0.4966  4 Bi 3.25, 4 Ho 3.35-3.40
Bi: 0.2500 0.1694 0.9174  4 Mg 3.19-3.20, 3 Bi 3.31-3.42, 1 Ho 3.43
Ho: 0.7500 0.4969 0.6802  9 Bi 3.27-3.43, 2 Mg 3.65

---

No. 2
## Pm3Sm6DyEr2 (PBE)

Data for Pm3Sm6DyEr2 after structural relaxation.

Computed properties:
Space-group type   C2/m

Cell: 6.2506 6.2506 11.9346 Å, 95.00 95.00 119.99°
Closest atoms and distances in Å follow each position.
Fractional coordinates of all 12 atoms:
Er: 0.6667 0.3333 0.0000  6 Sm 3.56-3.57, 3 Dy 3.61, 3 Er 3.61
Pm: 0.1668 0.8332 0.5000  6 Pm 3.61, 6 Sm 3.64
Sm: 0.0824 0.4160 0.2462  2 Er 3.56-3.57, 1 Dy 3.57, 6 Sm 3.61, 3 Pm 3.64
Sm: 0.2512 0.2512 0.7539  1 Dy 3.56, 2 Er 3.57, 6 Sm 3.61, 3 Pm 3.64
Sm: 0.5840 0.9176 0.7538  2 Er 3.56-3.57, 1 Dy 3.57, 6 Sm 3.61, 3 Pm 3.64
Sm: 0.7488 0.7488 0.2461  1 Dy 3.56, 2 Er 3.57, 6 Sm 3.61, 3 Pm 3.64
Sm: 0.4160 0.0824 0.2462  2 Er 3.56-3.57, 1 Dy 3.57, 6 Sm 3.61, 3 Pm 3.64
Pm: 0.8332 0.1668 0.5000  6 Pm 3.61, 6 Sm 3.64
Pm: 0.5000 0.5000 0.5000  6 Pm 3.61, 6 Sm 3.64
Sm: 0.9176 0.5840 0.7538  2 Er 3.56-3.57, 1 Dy 3.57, 6 Sm 3.61, 3 Pm 3.64
Er: 0.3333 0.6667 0.0000  6 Sm 3.56-3.57, 3 Dy 3.61, 3 Er 3.61
Dy: 0.0000 0.0000 0.0000  6 Sm 3.56-3.57, 6 Er 3.61

---

No. 3
## La6SnTe3As2 (PBE)

Data for La6SnTe3As2 after structural relaxation.

Computed properties:
Raw formation energy   -1.50 eV/atom
Space-group type   C2/m

Cell: 4.5128 9.1070 10.1644 Å, 103.69 102.83 90.00°
Closest atoms and distances in Å follow each position.
Fractional coordinates of all 12 atoms:
La: 0.6726 0.5691 0.3453  3 As 3.06-3.09, 3 Te 3.32-3.33
La: 0.9930 0.7516 0.9860  1 As 3.11, 2 Sn 3.17, 3 Te 3.24-3.31
La: 0.6659 0.1005 0.3317  2 As 3.10, 1 Sn 3.19, 3 Te 3.26-3.33
La: 0.0070 0.2484 0.0140  1 As 3.11, 2 Sn 3.17, 3 Te 3.24-3.31
La: 0.3274 0.4309 0.6547  3 As 3.06-3.09, 3 Te 3.32-3.33
Sn: 0.5000 0.0000 0.0000  6 La 3.17-3.19
As: 0.1686 0.3358 0.3371  6 La 3.06-3.11
La: 0.3341 0.8995 0.6683  2 As 3.10, 1 Sn 3.19, 3 Te 3.26-3.33
As: 0.8314 0.6642 0.6629  6 La 3.06-3.11
Te: 0.1651 0.8316 0.3302  6 La 3.26-3.33
Te: 0.5000 0.5000 0.0000  6 La 3.24-3.33
Te: 0.8349 0.1684 0.6698  6 La 3.26-3.33

---

No. 4
## MgV2Fe2 (PBE)

Data for MgV2Fe2 after structural relaxation.

Computed properties:
Distance to the lowest polymorph of the same formula   0.050 eV per atom
Space-group type   I4/mmm

Cell: 3.8720 3.8720 5.5425 Å, 69.56 69.56 90.00°
Closest atoms and distances in Å follow each position.
Fractional coordinates of all 5 atoms:
V: 0.7500 0.2500 0.5000  4 Fe 2.33
V: 0.2500 0.7500 0.5000  4 Fe 2.33
Fe: 0.3844 0.3844 0.2313  1 Fe 2.23, 4 V 2.33
Fe: 0.6156 0.6156 0.7687  1 Fe 2.23, 4 V 2.33
Mg: 0.0000 0.0000 0.0000  8 Fe 2.96, 8 V 3.09

---

How do the records compare in energy? In the order shown, they have -78.56; -56.10; -70.24; -36.25 eV per cell.
How do the records compare in total magnetic moment? In the order shown, they have 0.000; 0.001; 0.000; 0.000 μB per cell.